1.
First-principles (PBE) data for a relaxed structure of Ag7Te5, as listed in Alexandria.

Calculated values
Relative energy among the computed polymorphs ... 0.64 eV/f.u.
Formation energy (no corrections) ... 0.08 eV per atom
E ... -34.757 eV/cell

a b c (Å): 7.331 7.331 7.331
angles (deg): 109.29 109.29 109.84
Fractional coordinates of all 12 atoms:
Ag  0.000  0.000  0.000
Ag  0.362  0.620  0.741
Ag  0.371  0.871  0.500
Ag  0.620  0.362  0.741
Ag  0.620  0.879  0.259
Ag  0.871  0.371  0.500
Ag  0.879  0.620  0.259
Te  0.114  0.114  0.455
Te  0.114  0.659  0.000
Te  0.353  0.353  0.000
Te  0.659  0.114  0.000
Te  0.659  0.659  0.545



2.
First-principles (PBE) data for a relaxed structure of Ag7Te4, as listed in Alexandria.

Calculated values
Formation energy (no corrections) ... 0.19 eV per atom
E ... -152.444 eV/cell

a b c (Å): 13.378 13.378 9.178
angles (deg): 90.00 90.00 120.00
Fractional coordinates of all 55 atoms:
Ag  0.000  0.000  0.145
Ag  0.000  0.000  0.855
Ag  0.000  0.500  0.000
Ag  0.122  0.245  0.000
Ag  0.122  0.878  0.000
Ag  0.125  0.461  0.500
Ag  0.125  0.664  0.500
Ag  0.245  0.122  0.000
Ag  0.254  0.508  0.235
Ag  0.254  0.508  0.765
Ag  0.254  0.746  0.235
Ag  0.254  0.746  0.765
Ag  0.336  0.461  0.500
Ag  0.336  0.875  0.500
Ag  0.461  0.125  0.500
Ag  0.461  0.336  0.500
Ag  0.492  0.746  0.235
Ag  0.492  0.746  0.765
Ag  0.500  0.000  0.000
Ag  0.500  0.500  0.000
Ag  0.508  0.254  0.235
Ag  0.508  0.254  0.765
Ag  0.539  0.664  0.500
Ag  0.539  0.875  0.500
Ag  0.664  0.125  0.500
Ag  0.664  0.539  0.500
Ag  0.746  0.254  0.235
Ag  0.746  0.254  0.765
Ag  0.746  0.492  0.235
Ag  0.746  0.492  0.765
Ag  0.755  0.878  0.000
Ag  0.875  0.336  0.500
Ag  0.875  0.539  0.500
Ag  0.878  0.122  0.000
Ag  0.878  0.755  0.000
Te  0.000  0.212  0.500
Te  0.000  0.341  0.190
Te  0.000  0.341  0.810
Te  0.000  0.659  0.190
Te  0.000  0.659  0.810
Te  0.000  0.788  0.500
Te  0.212  0.000  0.500
Te  0.212  0.212  0.500
Te  0.333  0.667  0.000
Te  0.341  0.000  0.190
Te  0.341  0.000  0.810
Te  0.341  0.341  0.190
Te  0.341  0.341  0.810
Te  0.659  0.000  0.190
Te  0.659  0.000  0.810
Te  0.659  0.659  0.190
Te  0.659  0.659  0.810
Te  0.667  0.333  0.000
Te  0.788  0.000  0.500
Te  0.788  0.788  0.500



- What is the formula in the first record?
  Ag7Te5



- Among the records above, which one has the lowest formation energy (no corrections)?
  Ag7Te5



- Which of these has the lowest formation energy (no corrections)?
  Ag7Te5



- What is the formula in the second record?
  Ag7Te4